Compound: Sr2TmPaSe6
Source: the Alexandria database
Functional: GGA-PBE
Structure: relaxed

Results
- Energy: -5.595 eV/atom
- Space-group type: No. 14
- ρ: 5.88 g/cm3
- Formation energy from raw total energies: -1.77 eV/atom

Geometry as POSCAR:
```
Sr2TmPaSe6
1.0
7.210 0.000 0.000
0.000 7.778 0.000
-7.097 0.000 10.559
Sr Tm Pa Se
4 2 2 12
Cartesian
-0.201 0.688 2.611
-3.749 3.201 7.890
3.862 4.577 2.668
0.313 7.091 7.947
-3.549 0.000 5.279
0.000 3.889 0.000
3.605 0.000 0.000
0.056 3.889 5.279
-5.745 1.485 9.936
-2.196 2.404 4.657
-4.819 5.408 9.908
-1.270 6.259 4.629
-2.674 0.255 7.930
0.875 3.634 2.651
-0.762 4.144 7.908
2.786 7.523 2.628
1.383 1.519 5.930
4.931 2.370 0.651
2.309 5.374 5.902
5.857 6.293 0.622
```